No. 1
RbNb2Sb2: optimized geometry, PBE.

## Properties
The energy above the most stable polymorph in this dataset is 0 meV/atom. Its density is 5.98 g/cm³. The total magnetization comes out at 0.00 μB per formula unit.

Cell: 4.2611 4.2611 8.4273 Å, 75.36 75.36 90.00°
Closest atoms and distances in Å follow each position.
Atoms (fractional coordinates):
1 Nb 0.2500 0.7500 0.5000  4 Sb 2.84, 4 Nb 3.01
2 Nb 0.7500 0.2500 0.5000  4 Sb 2.84, 4 Nb 3.01
3 Sb 0.6310 0.6310 0.7379  4 Nb 2.84
4 Sb 0.3690 0.3690 0.2621  4 Nb 2.84
5 Rb 0.0000 0.0000 0.0000  8 Sb 3.65

No. 2
RbNb3Sb: optimized geometry, PBE.

## Properties
The energy above the most stable polymorph in this dataset is 914 meV/atom. Its density is 7.01 g/cm³. The total magnetization comes out at 0.00 μB per formula unit.

Cell: 4.8636 4.8636 4.8636 Å, 90.00 90.00 90.00°
Closest atoms and distances in Å follow each position.
Atoms (fractional coordinates):
1 Sb 0.5000 0.5000 0.5000  12 Nb 3.44
2 Nb 0.5000 0.0000 0.0000  2 Rb 2.43
3 Nb 0.0000 0.0000 0.5000  2 Rb 2.43
4 Nb 0.0000 0.5000 0.0000  2 Rb 2.43
5 Rb 0.0000 0.0000 0.0000  6 Nb 2.43

No. 3
RbNb2Sb: optimized geometry, PBE.

## Properties
The value obtained for the uncorrected energy is -5.026 eV/atom. Its density is 6.04 g/cm³. The total magnetization comes out at 0.00 μB per formula unit.

Cell: 8.4222 8.4222 6.6895 Å, 50.99 50.99 90.00°
Closest atoms and distances in Å follow each position.
Atoms (fractional coordinates):
1 Nb 0.6797 0.1250 0.2500  2 Sb 2.78
2 Nb 0.8750 0.9297 0.7500  2 Sb 2.78
3 Nb 0.0703 0.6250 0.2500  2 Sb 2.78
4 Nb 0.3750 0.3203 0.7500  2 Sb 2.78
5 Rb 0.2500 0.7500 0.5000  2 Sb 3.05, 4 Nb 3.41
6 Rb 0.5000 0.5000 0.0000  2 Sb 3.05, 4 Nb 3.41
7 Sb 0.7500 0.2500 0.5000  4 Nb 2.78, 2 Rb 3.05
8 Sb 0.0000 0.0000 0.0000  4 Nb 2.78, 2 Rb 3.05

No. 4
RbNb2Sb2: optimized geometry, PBE.

## Properties
The energy above the most stable polymorph in this dataset is 385 meV/atom. Its density is 6.23 g/cm³. The total magnetization comes out at 0.00 μB per formula unit.

Cell: 5.3487 5.3487 6.1080 Å, 64.03 64.03 90.00°
Closest atoms and distances in Å follow each position.
Atoms (fractional coordinates):
1 Nb 0.3733 0.3733 0.2534  1 Nb 2.43
2 Nb 0.6267 0.6267 0.7466  1 Nb 2.43
3 Sb 0.7500 0.2500 0.5000  4 Nb 2.92
4 Sb 0.2500 0.7500 0.5000  4 Nb 2.92
5 Rb 0.0000 0.0000 0.0000  10 Nb 3.58-3.97, 8 Sb 3.59

No. 5
RbNbSbTe2: optimized geometry, PBE.

## Properties
The energy above the most stable polymorph in this dataset is 2223 meV/atom. Its density is 4.64 g/cm³. The total magnetization comes out at 0.00 μB per formula unit.

Cell: 5.9003 5.9003 5.7027 Å, 90.00 90.00 90.00°
Closest atoms and distances in Å follow each position.
Atoms (fractional coordinates):
1 Nb 0.5000 0.5000 0.5000  8 Te 4.10, 4 Sb 4.17
2 Te 0.5000 0.0000 0.0000  2 Rb 2.95
3 Te 0.0000 0.5000 0.0000  2 Rb 2.95
4 Rb 0.0000 0.0000 0.0000  2 Sb 2.85, 4 Te 2.95
5 Sb 0.0000 0.0000 0.5000  2 Rb 2.85

No. 6
RbNbSbTe2: optimized geometry, PBE.

## Properties
The energy above the most stable polymorph in this dataset is 0 meV/atom. Its density is 5.44 g/cm³. The total magnetization comes out at 0.00 μB per formula unit.

Cell: 5.5534 5.5534 5.4930 Å, 90.00 90.00 90.00°
Closest atoms and distances in Å follow each position.
Atoms (fractional coordinates):
1 Rb 0.5000 0.5000 0.5000  8 Te 3.91, 4 Sb 3.93
2 Nb 0.0000 0.0000 0.0000  2 Sb 2.75, 4 Te 2.78
3 Sb 0.0000 0.0000 0.5000  2 Nb 2.75
4 Te 0.5000 0.0000 0.0000  2 Nb 2.78
5 Te 0.0000 0.5000 0.0000  2 Nb 2.78

No. 7
Rb2Sc2Nb: optimized geometry, PBE.

## Properties
The energy above the most stable polymorph in this dataset is 833 meV/atom. Its density is 3.48 g/cm³. The total magnetization comes out at 4.35 μB per formula unit. The formation energy from the elements is 1774 meV/atom.

Cell: 5.9305 5.9305 6.3706 Å, 62.26 62.26 90.00°
Closest atoms and distances in Å follow each position.
Atoms (fractional coordinates):
1 Rb 0.3523 0.3523 0.2954  1 Rb 2.83, 4 Sc 3.12
2 Rb 0.6477 0.6477 0.7046  1 Rb 2.83, 4 Sc 3.12
3 Sc 0.2500 0.7500 0.5000  4 Rb 3.12
4 Sc 0.7500 0.2500 0.5000  4 Rb 3.12
5 Nb 0.0000 0.0000 0.0000  2 Rb 3.38

No. 8
Rb2Sc2Nb: optimized geometry, PBE.

## Properties
The energy above the most stable polymorph in this dataset is 716 meV/atom. Its density is 3.92 g/cm³. The total magnetization comes out at 0.02 μB per formula unit. The formation energy from the elements is 1657 meV/atom.

Cell: 9.6264 9.6264 3.2330 Å, 90.00 90.00 90.00°
Closest atoms and distances in Å follow each position.
Atoms (fractional coordinates):
1 Sc 0.8091 0.3091 0.5000  2 Rb 3.04, 2 Sc 3.23
2 Sc 0.6909 0.8091 0.5000  2 Rb 3.04, 2 Sc 3.23
3 Sc 0.3091 0.1909 0.5000  2 Rb 3.04, 2 Sc 3.23
4 Sc 0.1909 0.6909 0.5000  2 Rb 3.04, 2 Sc 3.23
5 Nb 0.5000 0.5000 0.0000  2 Nb 3.23
6 Nb 0.0000 0.0000 0.0000  2 Nb 3.23
7 Rb 0.6196 0.1196 0.0000  2 Sc 3.04, 3 Rb 3.23-3.26
8 Rb 0.1196 0.3804 0.0000  2 Sc 3.04, 3 Rb 3.23-3.26
9 Rb 0.8804 0.6196 0.0000  2 Sc 3.04, 3 Rb 3.23-3.26
10 Rb 0.3804 0.8804 0.0000  2 Sc 3.04, 3 Rb 3.23-3.26

Looking at volume for the records above, in order, we have 28.58; 23.01; 27.01; 27.44; 39.71; 33.88; 33.73; 29.96 Å³/atom.